Record 1
! PBE Er3ScTe2, relaxed; values from VASP
! DOS(E_F), states/eV/cell: 11.80
&SYSTEM
  ibrav = 0, nat = 12, ntyp = 3
/
ATOMIC_SPECIES
Er 167.26 Er.upf
Sc 44.96 Sc.upf
Te 127.60 Te.upf
ATOMIC_POSITIONS crystal
Er 0.054 0.054 0.216
Er 0.248 0.248 0.649
Er 0.383 0.383 0.976
Er 0.617 0.617 0.024
Er 0.752 0.752 0.351
Er 0.946 0.946 0.784
Sc 0.417 0.417 0.333
Sc 0.583 0.583 0.667
Te 0.163 0.163 0.856
Te 0.390 0.390 0.552
Te 0.610 0.610 0.448
Te 0.837 0.837 0.144
CELL_PARAMETERS angstrom
8.190 -1.985 0.000
8.190 1.985 0.000
-5.515 0.000 10.651

---

Record 2
! PBE ErScTe2, relaxed; values from VASP
! DOS(E_F), states/eV/cell: 5.03
! Energy above the most stable polymorph in this dataset, eV/atom: 0.306
&SYSTEM
  ibrav = 0, nat = 8, ntyp = 3
/
ATOMIC_SPECIES
Er 167.26 Er.upf
Sc 44.96 Sc.upf
Te 127.60 Te.upf
ATOMIC_POSITIONS crystal
Er 0.000 0.000 0.000
Er 0.497 0.574 0.547
Sc 0.502 0.603 0.161
Sc 0.999 0.253 0.362
Te 0.005 0.395 0.051
Te 0.500 0.956 0.295
Te 0.503 0.810 0.834
Te 0.996 0.298 0.675
CELL_PARAMETERS angstrom
4.161 0.000 0.000
0.021 7.198 0.000
0.047 1.179 8.734

---

no.,final energy (eV per cell)
1,-61.1
2,-41.4